Compound: Tb3Nd2HoEr6
Source: Alexandria via LeMat-Bulk
Functional: PBE-GGA
Structure: optimized geometry

Unit cell a=6.149 b=6.149 c=11.727 alpha=95.00 beta=95.00 gamma=119.96
Atoms (fractional coordinates):
Tb1 0.000 0.000 0.000
Tb2 0.333 0.667 0.000
Tb3 0.667 0.333 0.000
Nd1 0.167 0.833 0.500
Nd2 0.833 0.167 0.500
Ho1 0.500 0.500 0.500
Er1 0.083 0.415 0.248
Er2 0.252 0.252 0.752
Er3 0.415 0.083 0.248
Er4 0.585 0.917 0.752
Er5 0.748 0.748 0.248
Er6 0.917 0.585 0.752

- E_tot (Ry per atom) = -0.338
- total moment (μB/f.u.) = 0.00